Record 1
# Tm4SbPbC (GGA-PBE, optimized geometry)
# - total DFT energy (no corrections) (Ry per atom) = -0.416
# - calculated density (g/cm3) = 9.58
# - D(E_F) (states/eV/f.u.) = 3.32
# - ΔE_f (raw) (meV per atom) = -675
data_Tm4SbPbC
_chemical_formula_sum 'Tm16 Sb4 Pb4 C4'
_symmetry_space_group_name_H-M 'C m c m'
_symmetry_Int_Tables_number 63
_symmetry_space_group_name_Hall '-C 2c 2'
_cell_length_a 6.715
_cell_length_b 15.640
_cell_length_c 6.710
_cell_angle_alpha 90.00
_cell_angle_beta 90.00
_cell_angle_gamma 90.00
loop_
_atom_site_label
_atom_site_type_symbol
_atom_site_fract_x
_atom_site_fract_y
_atom_site_fract_z
Tm1 Tm 0.000 0.094 0.250
Tm2 Tm 0.000 0.405 0.250
Tm3 Tm 0.250 0.250 0.000
Sb1 Sb 0.000 0.108 0.750
Pb1 Pb 0.000 0.395 0.750
C1 C 0.000 0.250 0.250

Record 2
# VSbPb2C (GGA-PBE, optimized geometry)
# - total DFT energy (no corrections) (Ry per atom) = -0.389
# - calculated density (g/cm3) = 8.64
# - D(E_F) (states/eV/f.u.) = 3.00
# - ΔE_f (raw) (meV per atom) = 678
data_VSbPb2C
_chemical_formula_sum 'V1 Sb1 Pb2 C1'
_symmetry_space_group_name_H-M 'P 4/m m m'
_symmetry_Int_Tables_number 123
_symmetry_space_group_name_Hall '-P 4 2'
_cell_length_a 5.332
_cell_length_b 5.332
_cell_length_c 4.047
_cell_angle_alpha 90.00
_cell_angle_beta 90.00
_cell_angle_gamma 90.00
loop_
_atom_site_label
_atom_site_type_symbol
_atom_site_fract_x
_atom_site_fract_y
_atom_site_fract_z
V1 V 0.000 0.000 0.000
Sb1 Sb 0.500 0.500 0.000
Pb1 Pb 0.000 0.500 0.500
C1 C 0.000 0.000 0.500

Record 3
# VSbPbC2 (GGA-PBE, optimized geometry)
# - total DFT energy (no corrections) (Ry per atom) = -0.351
# - calculated density (g/cm3) = 6.96
# - D(E_F) (states/eV/f.u.) = 6.85
# - ΔE_f (raw) (meV per atom) = 2309
data_VSbPbC2
_chemical_formula_sum 'V1 Sb1 Pb1 C2'
_symmetry_space_group_name_H-M 'P 4/m m m'
_symmetry_Int_Tables_number 123
_symmetry_space_group_name_Hall '-P 4 2'
_cell_length_a 4.279
_cell_length_b 4.279
_cell_length_c 5.260
_cell_angle_alpha 90.00
_cell_angle_beta 90.00
_cell_angle_gamma 90.00
loop_
_atom_site_label
_atom_site_type_symbol
_atom_site_fract_x
_atom_site_fract_y
_atom_site_fract_z
V1 V 0.000 0.000 0.000
Sb1 Sb 0.000 0.000 0.500
Pb1 Pb 0.500 0.500 0.000
C1 C 0.000 0.500 0.500

Record 4
# Y4SbPbC (GGA-PBE, optimized geometry)
# - total DFT energy (no corrections) (Ry per atom) = -0.502
# - calculated density (g/cm3) = 6.25
# - D(E_F) (states/eV/f.u.) = 3.86
# - ΔE_f (raw) (meV per atom) = -700
data_Y4SbPbC
_chemical_formula_sum 'Y16 Sb4 Pb4 C4'
_symmetry_space_group_name_H-M 'C m c m'
_symmetry_Int_Tables_number 63
_symmetry_space_group_name_Hall '-C 2c 2'
_cell_length_a 6.827
_cell_length_b 15.893
_cell_length_c 6.823
_cell_angle_alpha 90.00
_cell_angle_beta 90.00
_cell_angle_gamma 90.00
loop_
_atom_site_label
_atom_site_type_symbol
_atom_site_fract_x
_atom_site_fract_y
_atom_site_fract_z
Y1 Y 0.000 0.092 0.250
Y2 Y 0.000 0.407 0.250
Y3 Y 0.250 0.250 0.000
Sb1 Sb 0.000 0.109 0.750
Pb1 Pb 0.000 0.394 0.750
C1 C 0.000 0.250 0.250

Record 5
# ZrSbPb2C (GGA-PBE, optimized geometry)
# - total DFT energy (no corrections) (Ry per atom) = -0.283
# - calculated density (g/cm3) = 5.65
# - D(E_F) (states/eV/f.u.) = 3.31
# - ΔE_f (raw) (meV per atom) = 2010
data_ZrSbPb2C
_chemical_formula_sum 'Zr1 Sb1 Pb2 C1'
_symmetry_space_group_name_H-M 'P 4/m m m'
_symmetry_Int_Tables_number 123
_symmetry_space_group_name_Hall '-P 4 2'
_cell_length_a 5.887
_cell_length_b 5.887
_cell_length_c 5.421
_cell_angle_alpha 90.00
_cell_angle_beta 90.00
_cell_angle_gamma 90.00
loop_
_atom_site_label
_atom_site_type_symbol
_atom_site_fract_x
_atom_site_fract_y
_atom_site_fract_z
Zr1 Zr 0.000 0.000 0.000
Sb1 Sb 0.000 0.000 0.500
Pb1 Pb 0.000 0.500 0.500
C1 C 0.500 0.500 0.000

Record 6
# Sc6Pb3C2 (GGA-PBE, optimized geometry)
# - total DFT energy (no corrections) (Ry per atom) = -0.481
# - calculated density (g/cm3) = 6.31
# - D(E_F) (states/eV/f.u.) = 6.02
data_Sc6Pb3C2
_chemical_formula_sum 'Sc12 Pb6 C4'
_symmetry_space_group_name_H-M 'I 4/m m m'
_symmetry_Int_Tables_number 139
_symmetry_space_group_name_Hall '-I 4 2'
_cell_length_a 4.479
_cell_length_b 4.479
_cell_length_c 24.033
_cell_angle_alpha 90.00
_cell_angle_beta 90.00
_cell_angle_gamma 90.00
loop_
_atom_site_label
_atom_site_type_symbol
_atom_site_fract_x
_atom_site_fract_y
_atom_site_fract_z
Sc1 Sc 0.000 0.000 0.190
Sc2 Sc 0.000 0.500 0.086
Pb1 Pb 0.000 0.000 0.318
Pb2 Pb 0.000 0.000 0.500
C1 C 0.000 0.000 0.102

Record 7
# Sc4PbC2 (GGA-PBE, optimized geometry)
# - total DFT energy (no corrections) (Ry per atom) = -0.537
# - calculated density (g/cm3) = 5.21
# - D(E_F) (states/eV/f.u.) = 4.06
data_Sc4PbC2
_chemical_formula_sum 'Sc12 Pb3 C6'
_symmetry_space_group_name_H-M 'R -3 m'
_symmetry_Int_Tables_number 166
_symmetry_space_group_name_Hall '-R 3 2"'
_cell_length_a 3.3817
_cell_length_b 3.3817
_cell_length_c 39.7063
_cell_angle_alpha 90.00
_cell_angle_beta 90.00
_cell_angle_gamma 120.00
loop_
_atom_site_label
_atom_site_type_symbol
_atom_site_fract_x
_atom_site_fract_y
_atom_site_fract_z
Sc1 Sc 0.0000 0.0000 0.1256
Sc2 Sc 0.0000 0.0000 0.2687
Pb1 Pb 0.0000 0.0000 0.0000
C1 C 0.0000 0.0000 0.4288

Record 8
# Sc3Pb2C (GGA-PBE, optimized geometry)
# - total DFT energy (no corrections) (Ry per atom) = -0.457
# - calculated density (g/cm3) = 7.11
# - D(E_F) (states/eV/f.u.) = 6.05
data_Sc3Pb2C
_chemical_formula_sum 'Sc6 Pb4 C2'
_symmetry_space_group_name_H-M 'I m m m'
_symmetry_Int_Tables_number 71
_symmetry_space_group_name_Hall '-I 2 2'
_cell_length_a 3.347
_cell_length_b 5.613
_cell_length_c 13.962
_cell_angle_alpha 90.00
_cell_angle_beta 90.00
_cell_angle_gamma 90.00
loop_
_atom_site_label
_atom_site_type_symbol
_atom_site_fract_x
_atom_site_fract_y
_atom_site_fract_z
Sc1 Sc 0.000 0.000 0.000
Sc2 Sc 0.000 0.000 0.395
Pb1 Pb 0.000 0.500 0.302
C1 C 0.000 0.500 0.000

Record 9
# Sc3PbC (GGA-PBE, optimized geometry)
# - total DFT energy (no corrections) (Ry per atom) = -0.347
# - calculated density (g/cm3) = 3.85
# - D(E_F) (states/eV/f.u.) = 6.46
data_Sc3PbC
_chemical_formula_sum 'Sc3 Pb1 C1'
_symmetry_space_group_name_H-M 'P m -3 m'
_symmetry_Int_Tables_number 221
_symmetry_space_group_name_Hall '-P 4 2 3'
_cell_length_a 5.346
_cell_length_b 5.346
_cell_length_c 5.346
_cell_angle_alpha 90.00
_cell_angle_beta 90.00
_cell_angle_gamma 90.00
loop_
_atom_site_label
_atom_site_type_symbol
_atom_site_fract_x
_atom_site_fract_y
_atom_site_fract_z
Sc1 Sc 0.000 0.000 0.500
Pb1 Pb 0.000 0.000 0.000
C1 C 0.500 0.500 0.500

Record 10
# Sc3PbC (GGA-PBE, optimized geometry)
# - total DFT energy (no corrections) (Ry per atom) = -0.519
# - calculated density (g/cm3) = 6.18
# - D(E_F) (states/eV/f.u.) = 3.09
data_Sc3PbC
_chemical_formula_sum 'Sc3 Pb1 C1'
_symmetry_space_group_name_H-M 'P m -3 m'
_symmetry_Int_Tables_number 221
_symmetry_space_group_name_Hall '-P 4 2 3'
_cell_length_a 4.565
_cell_length_b 4.565
_cell_length_c 4.565
_cell_angle_alpha 90.00
_cell_angle_beta 90.00
_cell_angle_gamma 90.00
loop_
_atom_site_label
_atom_site_type_symbol
_atom_site_fract_x
_atom_site_fract_y
_atom_site_fract_z
Sc1 Sc 0.000 0.000 0.500
Pb1 Pb 0.500 0.500 0.500
C1 C 0.000 0.000 0.000

Record 11
# ScPb3C (GGA-PBE, optimized geometry)
# - total DFT energy (no corrections) (Ry per atom) = -0.271
# - calculated density (g/cm3) = 6.25
# - ΔE to the lowest computed polymorph (meV per atom) = 743.9
# - D(E_F) (states/eV/f.u.) = 5.83
data_ScPb3C
_chemical_formula_sum 'Sc1 Pb3 C1'
_symmetry_space_group_name_H-M 'P m -3 m'
_symmetry_Int_Tables_number 221
_symmetry_space_group_name_Hall '-P 4 2 3'
_cell_length_a 5.649
_cell_length_b 5.649
_cell_length_c 5.649
_cell_angle_alpha 90.00
_cell_angle_beta 90.00
_cell_angle_gamma 90.00
loop_
_atom_site_label
_atom_site_type_symbol
_atom_site_fract_x
_atom_site_fract_y
_atom_site_fract_z
Sc1 Sc 0.000 0.000 0.000
Pb1 Pb 0.000 0.000 0.500
C1 C 0.500 0.500 0.500

Record 12
# ScPb2C (GGA-PBE, optimized geometry)
# - total DFT energy (no corrections) (Ry per atom) = -0.363
# - calculated density (g/cm3) = 8.90
# - D(E_F) (states/eV/f.u.) = 2.08
data_ScPb2C
_chemical_formula_sum 'Sc4 Pb8 C4'
_symmetry_space_group_name_H-M 'I -4 2 d'
_symmetry_Int_Tables_number 122
_symmetry_space_group_name_Hall 'I -4 2bw'
_cell_length_a 7.254
_cell_length_b 7.254
_cell_length_c 6.686
_cell_angle_alpha 90.00
_cell_angle_beta 90.00
_cell_angle_gamma 90.00
loop_
_atom_site_label
_atom_site_type_symbol
_atom_site_fract_x
_atom_site_fract_y
_atom_site_fract_z
Sc1 Sc 0.000 0.000 0.000
Pb1 Pb 0.182 0.750 0.625
C1 C 0.000 0.000 0.500